1.
# Ge4IrPt3

An optimized crystal structure of Ge4IrPt3 (PBE-GGA, OQMD via LeMat-Bulk).

The structure in extended XYZ format:
```
8
Lattice="5.720 0.000 0.000 0.000 3.720 0.000 -0.030 0.000 6.209" Properties=species:S:1:pos:R:3 pbc="T T T"
Ge 0.000 0.000 0.000
Ge 0.693 1.860 3.038
Ge 2.757 0.000 1.977
Ge 3.502 1.860 5.122
Ir 1.746 1.860 0.636
Pt 1.711 0.000 4.440
Pt 4.564 0.000 3.738
Pt 4.587 1.860 1.331
```

Properties
**Volume**: 16.52 Å³ per atom
**Total DFT energy (no corrections)**: -0.4516 Ry per atom


2.
# Ge2IrPt

An optimized crystal structure of Ge2IrPt (PBE-GGA, OQMD via LeMat-Bulk).

The structure in extended XYZ format:
```
8
Lattice="5.580 0.000 0.000 0.000 3.714 0.000 -0.060 0.000 6.305" Properties=species:S:1:pos:R:3 pbc="T T T"
Ge 0.965 0.928 2.639
Ge 1.613 2.785 5.765
Ge 3.907 0.928 0.540
Ge 4.556 2.785 3.666
Ir -0.006 2.785 1.266
Ir 5.527 0.928 5.038
Pt 2.748 0.928 4.435
Pt 2.772 2.785 1.870
```

Properties
**Volume**: 16.33 Å³ per atom
**Total DFT energy (no corrections)**: -0.4760 Ry per atom


3.
# GeIr2Pt

An optimized crystal structure of GeIr2Pt (PBE-GGA, OQMD via LeMat-Bulk).

The structure in extended XYZ format:
```
4
Lattice="0.000 3.133 3.133 3.133 0.000 3.133 3.133 3.133 0.000" Properties=species:S:1:pos:R:3 pbc="T T T"
Ge 0.000 0.000 0.000
Ir 3.133 3.133 3.133
Ir 4.699 4.699 4.699
Pt 1.566 1.566 1.566
```

Properties
**Volume**: 15.37 Å³ per atom
**Total DFT energy (no corrections)**: -0.5022 Ry per atom


4.
# Y2Ge4IrPt

An optimized crystal structure of Y2Ge4IrPt (PBE-GGA, OQMD via LeMat-Bulk).

The structure in extended XYZ format:
```
8
Lattice="4.435 0.000 0.000 0.000 2.084 8.580 0.000 -2.084 8.580" Properties=species:S:1:pos:R:3 pbc="T T T"
Y 0.000 0.000 0.000
Y 2.217 0.000 3.668
Ge 0.000 0.000 6.208
Ge 0.000 0.000 10.953
Ge 2.217 0.000 9.774
Ge 2.217 0.000 14.632
Ir 2.217 0.000 7.368
Pt 0.000 0.000 13.376
```

Properties
**Volume**: 19.83 Å³ per atom
**Total DFT energy (no corrections)**: -0.4825 Ry per atom